Entry 1:
The following is a DFT calculation (PBE) of a relaxed SmThIr2 crystal.

Cell lengths 3.5572, 3.5572, 7.1044 Å; angles 90.00, 90.00, 90.00 degrees
Atoms (fractional coordinates):
Ir 0.0000 0.0000 0.7629
Ir 0.0000 0.0000 0.2371
Th 0.5000 0.5000 0.0000
Sm 0.5000 0.5000 0.5000

Output
relative energy among the computed polymorphs: 128 meV/atom
volume: 89.9 Å³ per cell
uncorrected energy: -32.8 eV per cell

***

Entry 2:
The following is a DFT calculation (PBE) of a relaxed SmTh2Ir crystal.

Cell lengths 3.9027, 3.9027, 10.5574 Å; angles 79.35, 79.35, 60.00 degrees
Last column: magnetic moment on the atom in μB.
Atoms (fractional coordinates):
Sm 0.0000 0.0000 0.0000  0.10
Ir 0.5000 0.5000 0.5000  0.00
Th 0.8884 0.8884 0.3347  0.02
Th 0.1116 0.1116 0.6653  0.02

Output
relative energy among the computed polymorphs: 358 meV/atom
volume: 136.0 Å³ per cell
uncorrected energy: -29.0 eV per cell

***

Entry 3:
The following is a DFT calculation (PBE) of a relaxed Sm3ThIr8 crystal.

Cell lengths 5.4236, 5.4236, 9.3851 Å; angles 73.21, 73.21, 60.00 degrees
Atoms (fractional coordinates):
Sm 0.0018 0.0018 0.9945
Sm 0.3743 0.3743 0.8772
Sm 0.4982 0.4982 0.5053
Ir 0.4382 0.9358 0.1878
Ir 0.1873 0.1873 0.4382
Ir 0.4384 0.9372 0.6871
Ir 0.4382 0.4382 0.1878
Ir 0.6876 0.6876 0.9373
Ir 0.9358 0.4382 0.1878
Ir 0.9372 0.9372 0.6871
Ir 0.9372 0.4384 0.6871
Th 0.8756 0.8756 0.3731

Output
volume: 225.4 Å³ per cell
uncorrected energy: -101.7 eV per cell

***

Entry 4:
The following is a DFT calculation (PBE) of a relaxed SmTh2Ir crystal.

Cell lengths 4.0008, 4.0008, 9.3981 Å; angles 77.71, 77.71, 60.00 degrees
Atoms (fractional coordinates):
Th 0.2723 0.2723 0.1831
Th 0.0615 0.0615 0.8155
Ir 0.6663 0.6663 0.0011
Sm 0.4999 0.4999 0.5002

Output
relative energy among the computed polymorphs: 122 meV/atom
volume: 126.3 Å³ per cell
uncorrected energy: -29.9 eV per cell

***

Entry 5:
The following is a DFT calculation (PBE) of a relaxed SmThIr2 crystal.

Cell lengths 5.0125, 5.0125, 5.0125 Å; angles 60.00, 60.00, 60.00 degrees
Atoms (fractional coordinates):
Th 0.0000 0.0000 0.0000
Ir 0.7500 0.7500 0.7500
Ir 0.2500 0.2500 0.2500
Sm 0.5000 0.5000 0.5000

Output
relative energy among the computed polymorphs: 143 meV/atom
volume: 89.1 Å³ per cell
uncorrected energy: -32.7 eV per cell

***

Entry 6:
The following is a DFT calculation (PBE) of a relaxed Sm2ThIr crystal.

Cell lengths 3.6946, 3.6946, 10.9334 Å; angles 80.27, 80.27, 60.00 degrees
Atoms (fractional coordinates):
Ir 0.5000 0.5000 0.5000
Sm 0.1106 0.1106 0.6682
Sm 0.8894 0.8894 0.3318
Th 0.0000 0.0000 0.0000

Output
relative energy among the computed polymorphs: 496 meV/atom
volume: 126.8 Å³ per cell
uncorrected energy: -25.8 eV per cell

***

Entry 7:
The following is a DFT calculation (PBE) of a relaxed SmThIr2 crystal.

Cell lengths 3.9205, 4.2881, 5.8155 Å; angles 90.00, 109.75, 90.00 degrees
Atoms (fractional coordinates):
Th 0.4434 0.5000 0.4258
Sm 0.7225 0.0000 0.9842
Ir 0.1731 0.5000 0.8848
Ir 0.9920 0.0000 0.5232

Output
relative energy among the computed polymorphs: 0 meV/atom
volume: 92.0 Å³ per cell
uncorrected energy: -33.3 eV per cell

***

Entry 8:
The following is a DFT calculation (PBE) of a relaxed SmTh2Ir2 crystal.

Cell lengths 3.9145, 7.9386, 7.9386 Å; angles 90.00, 90.00, 90.00 degrees
Atoms (fractional coordinates):
Th 0.5000 0.8357 0.3357
Th 0.5000 0.6643 0.8357
Th 0.5000 0.3357 0.1643
Th 0.5000 0.1643 0.6643
Sm 0.0000 0.0000 0.0000
Sm 0.0000 0.5000 0.5000
Ir 0.0000 0.3643 0.8643
Ir 0.0000 0.6357 0.1357
Ir 0.0000 0.1357 0.3643
Ir 0.0000 0.8643 0.6357

Output
volume: 246.7 Å³ per cell
uncorrected energy: -82.3 eV per cell

***

Entry 9:
The following is a DFT calculation (PBE) of a relaxed SmThIr2 crystal.

Cell lengths 4.0952, 4.0952, 7.1514 Å; angles 73.36, 73.36, 60.00 degrees
Atoms (fractional coordinates):
Ir 0.7481 0.7481 0.7556
Ir 0.2519 0.2519 0.2444
Th 0.0000 0.0000 0.0000
Sm 0.5000 0.5000 0.5000

Output
relative energy among the computed polymorphs: 148 meV/atom
volume: 98.0 Å³ per cell
uncorrected energy: -32.7 eV per cell

***

Entry 10:
The following is a DFT calculation (PBE) of a relaxed SmThIr crystal.

Cell lengths 6.3392, 4.1273, 4.1273 Å; angles 120.00, 90.00, 90.00 degrees
Atoms (fractional coordinates):
Sm 0.5800 0.6667 0.3333
Th 0.0950 0.0000 0.0000
Ir 0.3250 0.3333 0.6667

Output
relative energy among the computed polymorphs: 117 meV/atom
volume: 93.5 Å³ per cell
uncorrected energy: -22.6 eV per cell

***

Entry 11:
The following is a DFT calculation (PBE) of a relaxed SmThIr2 crystal.

Cell lengths 5.8144, 5.8105, 11.5891 Å; angles 90.07, 90.00, 90.00 degrees
Atoms (fractional coordinates):
Ir 0.2463 0.5023 0.3807
Ir 0.2426 0.9990 0.6279
Ir 0.7537 0.0023 0.8807
Ir 0.2426 0.5010 0.8721
Ir 0.7537 0.4977 0.6193
Ir 0.7574 0.0010 0.3721
Ir 0.2463 0.9977 0.1193
Ir 0.7574 0.4990 0.1279
Sm 0.2586 0.4976 0.1267
Sm 0.7414 0.9976 0.6267
Sm 0.7414 0.5024 0.8733
Sm 0.2586 0.0024 0.3733
Th 0.7445 0.9989 0.1265
Th 0.2555 0.0011 0.8735
Th 0.2555 0.4989 0.6265
Th 0.7445 0.5011 0.3735

Output
relative energy among the computed polymorphs: 152 meV/atom
volume: 391.5 Å³ per cell
uncorrected energy: -130.7 eV per cell

***

Entry 12:
The following is a DFT calculation (PBE) of a relaxed SmTh2Ir crystal.

Cell lengths 6.3262, 7.2665, 10.0413 Å; angles 90.00, 90.00, 90.00 degrees
Atoms (fractional coordinates):
Th 0.8425 0.3213 0.9396
Th 0.6575 0.8213 0.9396
Th 0.6575 0.8213 0.5604
Th 0.3425 0.1787 0.0604
Th 0.1575 0.6787 0.4396
Th 0.3425 0.1787 0.4396
Th 0.8425 0.3213 0.5604
Th 0.1575 0.6787 0.0604
Sm 0.3519 0.4620 0.7500
Sm 0.8519 0.0380 0.2500
Sm 0.6481 0.5380 0.2500
Sm 0.1481 0.9620 0.7500
Ir 0.8873 0.6116 0.7500
Ir 0.6127 0.1116 0.7500
Ir 0.1127 0.3884 0.2500
Ir 0.3873 0.8884 0.2500

Output
relative energy among the computed polymorphs: 0 meV/atom
volume: 461.6 Å³ per cell
uncorrected energy: -121.6 eV per cell